(1)
Crystalline In12Sb3O5 at its relaxed geometry. Source: Alexandria via LeMat-Bulk, functional PBE.

Unit cell a=15.815 b=15.815 c=15.815 alpha=90.00 beta=90.00 gamma=90.00
Space group Ia-3d (No. 230)
Inequivalent atoms, fractional coordinates:
In: 0.038 0.054 0.647 x96
Sb: 0.000 0.250 0.125 x24
O: 0.000 0.000 0.000 x16
O: 0.000 0.250 0.375 x24

Uncorrected formation energy = -0.37 eV/atom
Magnetic moment = 0.00 μB/cell



(2)
Crystalline In2SbO at its relaxed geometry. Source: Alexandria via LeMat-Bulk, functional PBE.

Unit cell a=6.979 b=6.979 c=6.979 alpha=90.00 beta=90.00 gamma=90.00
Space group Fm-3m (No. 225)
Inequivalent atoms, fractional coordinates:
In: 0.250 0.250 0.250 x8
Sb: 0.000 0.000 0.000 x4
O: 0.000 0.000 0.500 x4

Uncorrected formation energy = 0.07 eV/atom
Magnetic moment = 0.00 μB/cell



(3)
Crystalline In6SbO12 at its relaxed geometry. Source: Alexandria via LeMat-Bulk, functional PBE.

Unit cell a=9.6436 b=9.6436 c=9.0946 alpha=90.00 beta=90.00 gamma=120.00
Space group R-3 (No. 148, hexagonal axes)
Inequivalent atoms, fractional coordinates:
In: 0.0394 0.2534 0.1475 x18
Sb: 0.0000 0.0000 0.5000 x3
O: 0.0254 0.2198 0.8968 x18
O: 0.0298 0.1917 0.3847 x18

Uncorrected formation energy = -1.45 eV/atom
Magnetic moment = 3.38 μB/cell



(4)
Crystalline In11Sb3O24 at its relaxed geometry. Source: Alexandria via LeMat-Bulk, functional PBE.

Unit cell a=8.167 b=8.205 c=8.261 alpha=71.03 beta=72.07 gamma=72.20
Space group P1 (No. 1)
Inequivalent atoms, fractional coordinates:
In: 0.000 0.000 0.000 x1
In: 0.017 0.799 0.671 x1
In: 0.124 0.604 0.320 x1
In: 0.191 0.332 0.969 x1
In: 0.296 0.134 0.609 x1
In: 0.332 0.929 0.285 x1
In: 0.482 0.506 0.502 x1
In: 0.517 0.297 0.184 x1
In: 0.698 0.824 0.455 x1
In: 0.801 0.633 0.113 x1
In: 0.831 0.437 0.784 x1
Sb: 0.412 0.716 0.896 x1
Sb: 0.617 0.114 0.829 x1
Sb: 0.909 0.210 0.392 x1
O: 0.046 0.135 0.168 x1
O: 0.084 0.228 0.808 x1
O: 0.126 0.076 0.482 x1
O: 0.195 0.858 0.801 x1
O: 0.235 0.710 0.478 x1
O: 0.276 0.801 0.113 x1
O: 0.324 0.492 0.029 x1
O: 0.326 0.386 0.406 x1
O: 0.421 0.300 0.729 x1
O: 0.423 0.123 0.055 x1
O: 0.487 0.043 0.389 x1
O: 0.499 0.953 0.773 x1
O: 0.541 0.640 0.673 x1
O: 0.583 0.719 0.308 x1
O: 0.631 0.581 0.982 x1
O: 0.689 0.351 0.308 x1
O: 0.723 0.215 0.970 x1
O: 0.773 0.275 0.630 x1
O: 0.814 0.909 0.885 x1
O: 0.825 0.988 0.513 x1
O: 0.909 0.798 0.207 x1
O: 0.912 0.631 0.562 x1
O: 0.990 0.555 0.889 x1
O: 0.992 0.434 0.272 x1

Uncorrected formation energy = -1.52 eV/atom
Magnetic moment = 0.00 μB/cell



> Number 3 is which compound?

In6SbO12



> Look up the uncorrected formation energy of the first one.

-0.37 eV/atom



Repeat the fourth record exactly.
Crystalline In11Sb3O24 at its relaxed geometry. Source: Alexandria via LeMat-Bulk, functional PBE.

Unit cell a=8.167 b=8.205 c=8.261 alpha=71.03 beta=72.07 gamma=72.20
Space group P1 (No. 1)
Inequivalent atoms, fractional coordinates:
In: 0.000 0.000 0.000 x1
In: 0.017 0.799 0.671 x1
In: 0.124 0.604 0.320 x1
In: 0.191 0.332 0.969 x1
In: 0.296 0.134 0.609 x1
In: 0.332 0.929 0.285 x1
In: 0.482 0.506 0.502 x1
In: 0.517 0.297 0.184 x1
In: 0.698 0.824 0.455 x1
In: 0.801 0.633 0.113 x1
In: 0.831 0.437 0.784 x1
Sb: 0.412 0.716 0.896 x1
Sb: 0.617 0.114 0.829 x1
Sb: 0.909 0.210 0.392 x1
O: 0.046 0.135 0.168 x1
O: 0.084 0.228 0.808 x1
O: 0.126 0.076 0.482 x1
O: 0.195 0.858 0.801 x1
O: 0.235 0.710 0.478 x1
O: 0.276 0.801 0.113 x1
O: 0.324 0.492 0.029 x1
O: 0.326 0.386 0.406 x1
O: 0.421 0.300 0.729 x1
O: 0.423 0.123 0.055 x1
O: 0.487 0.043 0.389 x1
O: 0.499 0.953 0.773 x1
O: 0.541 0.640 0.673 x1
O: 0.583 0.719 0.308 x1
O: 0.631 0.581 0.982 x1
O: 0.689 0.351 0.308 x1
O: 0.723 0.215 0.970 x1
O: 0.773 0.275 0.630 x1
O: 0.814 0.909 0.885 x1
O: 0.825 0.988 0.513 x1
O: 0.909 0.798 0.207 x1
O: 0.912 0.631 0.562 x1
O: 0.990 0.555 0.889 x1
O: 0.992 0.434 0.272 x1

Uncorrected formation energy = -1.52 eV/atom
Magnetic moment = 0.00 μB/cell



> Which of these has the highest uncorrected formation energy?

In2SbO